[1]
A relaxed structure of Al3BP. Source: Alexandria via LeMat-Bulk, functional PBE.

Cell: 4.594 4.594 4.594 Å, 90.00 90.00 90.00°
Positions (direct):
B 0.500 0.500 0.500
Al 0.500 0.000 0.000
Al 0.000 0.000 0.500
Al 0.000 0.500 0.000
P 0.000 0.000 0.000

Calculated values
**ΔH_f (0 K)**: 1.19 eV per atom
**DOS(E_F)**: 3.03 states/eV per cell

---

[2]
A relaxed structure of Li4Ru. Source: Alexandria via LeMat-Bulk, functional PBE.

Cell: 4.763 4.763 4.763 Å, 90.00 90.00 90.00°
Last column: magnetic moment on the atom in μB.
Positions (direct):
Li 0.500 0.000 0.500  -0.01
Li 0.000 0.500 0.500  -0.01
Li 0.000 0.000 0.000  -0.01
Li 0.500 0.500 0.000  -0.01
Ru 0.500 0.500 0.500  0.78

Calculated values
**ΔH_f (0 K)**: 0.68 eV per atom
**DOS(E_F)**: 5.11 states/eV per cell

---

[3]
A relaxed structure of Dy2CdAu8. Source: Alexandria via LeMat-Bulk, functional PBE.

Cell: 5.173 6.190 9.811 Å, 108.39 127.18 90.00°
Positions (direct):
Dy 0.096 0.649 0.298
Dy 0.904 0.351 0.702
Au 0.000 0.757 0.000
Au 0.000 0.243 0.000
Au 0.351 0.588 0.663
Au 0.833 0.826 0.652
Au 0.351 0.076 0.663
Au 0.649 0.924 0.337
Au 0.649 0.412 0.337
Au 0.167 0.174 0.348
Cd 0.500 0.000 0.000

Calculated values
**ΔH_f (0 K)**: -0.49 eV per atom
**DOS(E_F)**: 3.58 states/eV per cell

---

[4]
A relaxed structure of YAsSe2Br. Source: Alexandria via LeMat-Bulk, functional PBE.

Cell: 5.126 5.126 5.053 Å, 90.00 90.00 90.00°
Positions (direct):
Br 0.000 0.000 0.000
Se 0.000 0.500 0.000
Se 0.500 0.000 0.000
As 0.000 0.000 0.500
Y 0.500 0.500 0.500

Calculated values
**Raw formation energy**: 214 meV/atom
**DOS(E_F)**: 5.74 states/eV per cell